Run i
DFT (PBE-GGA) results for KTbNO after structural relaxation.

The structure in POSCAR format:
```
KTbNO
1.0
3.976 0.000 0.000
0.000 7.224 0.000
0.000 0.000 6.174
K Tb N O
2 2 2 2
direct
0.000 0.174 0.000
0.000 0.826 0.500
0.500 0.344 0.528
0.500 0.656 0.028
0.000 0.202 0.458
0.000 0.798 0.958
0.500 0.391 0.871
0.500 0.609 0.371
```

---

Run ii
DFT (PBE-GGA) results for KTbNO after structural relaxation.

The structure in POSCAR format:
```
KTbNO
1.0
5.179 0.000 0.000
0.000 5.179 0.000
0.000 0.000 4.764
K Tb N O
2 2 2 2
direct
0.250 0.250 0.001
0.750 0.750 0.999
0.250 0.750 0.500
0.750 0.250 0.500
0.250 0.250 0.501
0.750 0.750 0.499
0.250 0.750 0.000
0.750 0.250 0.000
```

---

So which one wins? Going from most stable to least: run i, run ii.

---

Run i
DFT (PBE-GGA) results for KTcNO after structural relaxation.

The structure in POSCAR format:
```
KTcNO
1.0
3.261 0.000 0.000
0.000 6.679 0.000
0.000 0.000 6.090
K Tc N O
2 2 2 2
direct
0.000 0.224 0.000
0.000 0.776 0.500
0.500 0.319 0.499
0.500 0.681 0.999
0.000 0.179 0.486
0.000 0.821 0.986
0.500 0.490 0.757
0.500 0.510 0.257
```

---

Run ii
DFT (PBE-GGA) results for KTcNO after structural relaxation.

The structure in POSCAR format:
```
KTcNO
1.0
3.675 0.000 0.000
0.000 3.675 0.000
0.000 0.000 10.186
K Tc N O
2 2 2 2
direct
0.250 0.250 0.175
0.750 0.750 0.825
0.250 0.750 0.500
0.750 0.250 0.500
0.250 0.250 0.591
0.750 0.750 0.409
0.250 0.750 0.000
0.750 0.250 0.000
```

---

Run iii
DFT (PBE-GGA) results for KTcNO after structural relaxation.

The structure in POSCAR format:
```
KTcNO
1.0
6.305 0.000 0.000
0.000 8.207 0.000
0.000 0.000 5.079
K Tc N O
4 4 4 4
direct
0.096 0.168 0.000
0.404 0.168 0.500
0.596 0.832 0.000
0.904 0.832 0.500
0.146 0.633 0.004
0.354 0.633 0.504
0.646 0.367 0.004
0.854 0.367 0.504
0.070 0.831 0.996
0.430 0.831 0.496
0.570 0.169 0.996
0.930 0.169 0.496
0.084 0.513 0.645
0.416 0.513 0.145
0.584 0.487 0.645
0.916 0.487 0.145
```

---

So which one wins? Going from most stable to least: run i, run iii, run ii.

---

Run i
DFT (PBE-GGA) results for KTcNO after structural relaxation.

The structure in POSCAR format:
```
KTcNO
1.0
3.442 0.000 0.000
0.000 6.543 0.000
0.000 0.000 6.015
K Tc N O
2 2 2 2
direct
0.000 0.209 0.000
0.000 0.791 0.500
0.500 0.339 0.501
0.500 0.661 0.001
0.500 0.500 0.251
0.500 0.500 0.751
0.000 0.185 0.500
0.000 0.815 0.000
```

---

Run ii
DFT (PBE-GGA) results for KTcNO after structural relaxation.

The structure in POSCAR format:
```
KTcNO
1.0
2.982 -2.986 0.000
2.982 2.986 0.000
0.000 0.000 7.710
K Tc N O
2 2 2 2
direct
0.250 0.250 0.000
0.750 0.750 0.000
0.250 0.750 0.578
0.750 0.250 0.422
0.250 0.750 0.802
0.750 0.250 0.198
0.250 0.250 0.500
0.750 0.750 0.500
```

---

So which one wins? Going from most stable to least: run i, run ii.

---

Run i
DFT (PBE-GGA) results for KTmNO after structural relaxation.

The structure in POSCAR format:
```
KTmNO
1.0
6.580 0.000 0.000
0.000 8.840 0.000
0.000 0.000 5.934
K Tm N O
4 4 4 4
direct
0.066 0.122 0.000
0.434 0.122 0.500
0.566 0.878 0.000
0.934 0.878 0.500
0.091 0.600 0.945
0.409 0.600 0.445
0.591 0.400 0.945
0.909 0.400 0.445
0.015 0.178 0.528
0.485 0.178 0.028
0.515 0.822 0.528
0.985 0.822 0.028
0.113 0.561 0.588
0.387 0.561 0.088
0.613 0.439 0.588
0.887 0.439 0.088
```

---

Run ii
DFT (PBE-GGA) results for KTmNO after structural relaxation.

The structure in POSCAR format:
```
KTmNO
1.0
3.610 0.000 0.000
0.000 3.610 0.000
0.000 0.000 4.591
K Tm N O
1 1 1 1
direct
0.000 0.000 0.000
0.500 0.500 0.500
0.000 0.000 0.500
0.500 0.500 0.000
```

---

Run iii
DFT (PBE-GGA) results for KTmNO after structural relaxation.

The structure in POSCAR format:
```
KTmNO
1.0
3.601 0.000 0.000
0.000 7.304 0.000
0.000 0.000 6.371
K Tm N O
2 2 2 2
direct
0.000 0.162 0.000
0.000 0.838 0.500
0.500 0.337 0.492
0.500 0.663 0.992
0.500 0.397 0.830
0.500 0.603 0.330
0.000 0.195 0.424
0.000 0.805 0.924
```

---

So which one wins? Going from most stable to least: run iii, run i, run ii.

---

Run i
DFT (PBE-GGA) results for KTmNO after structural relaxation.

The structure in POSCAR format:
```
KTmNO
1.0
5.112 0.000 0.000
0.000 5.112 0.000
0.000 0.000 4.577
K Tm N O
2 2 2 2
direct
0.250 0.250 0.001
0.750 0.750 0.999
0.250 0.750 0.500
0.750 0.250 0.500
0.250 0.250 0.501
0.750 0.750 0.499
0.250 0.750 0.000
0.750 0.250 0.000
```

---

Run ii
DFT (PBE-GGA) results for KTmNO after structural relaxation.

The structure in POSCAR format:
```
KTmNO
1.0
3.883 0.000 0.000
0.000 7.104 0.000
0.000 0.000 6.181
K Tm N O
2 2 2 2
direct
0.000 0.168 0.000
0.000 0.832 0.500
0.500 0.350 0.527
0.500 0.650 0.027
0.000 0.210 0.451
0.000 0.790 0.951
0.500 0.393 0.863
0.500 0.607 0.363
```

---

So which one wins? Going from most stable to least: run ii, run i.

---

Run i
DFT (PBE-GGA) results for KNaNiTe after structural relaxation.

The structure in POSCAR format:
```
KNaNiTe
1.0
0.000 3.561 3.561
3.561 0.000 3.561
3.561 3.561 0.000
K Na Ni Te
1 1 1 1
direct
0.000 0.000 0.000
0.750 0.750 0.750
0.250 0.250 0.250
0.500 0.500 0.500
```

---

Run ii
DFT (PBE-GGA) results for KNaNiTe after structural relaxation.

The structure in POSCAR format:
```
KNaNiTe
1.0
0.000 3.597 3.597
3.597 0.000 3.597
3.597 3.597 0.000
K Na Ni Te
1 1 1 1
direct
0.000 0.000 0.000
0.250 0.250 0.250
0.500 0.500 0.500
0.750 0.750 0.750
```

---

So which one wins? Going from most stable to least: run i, run ii.

---

Run i
DFT (PBE-GGA) results for KNaPPt after structural relaxation.

The structure in POSCAR format:
```
KNaPPt
1.0
5.685 0.000 0.000
0.000 4.658 3.592
0.000 -4.658 3.592
K Na P Pt
2 2 2 2
direct
0.000 0.174 0.826
0.000 0.826 0.174
0.500 0.129 0.475
0.500 0.475 0.129
0.000 0.387 0.387
0.500 0.900 0.900
0.256 0.636 0.636
0.744 0.636 0.636
```

---

Run ii
DFT (PBE-GGA) results for KNaPPt after structural relaxation.

The structure in POSCAR format:
```
KNaPPt
1.0
5.882 0.000 0.000
0.000 5.621 0.000
-1.411 0.000 5.786
K Na P Pt
2 2 2 2
direct
0.179 0.250 0.030
0.821 0.750 0.970
0.499 0.250 0.651
0.501 0.750 0.349
0.270 0.750 0.736
0.730 0.250 0.264
0.000 0.000 0.500
0.000 0.500 0.500
```

---

So which one wins? Going from most stable to least: run ii, run i.

---

Run i
DFT (PBE-GGA) results for K2Na2ZnP2 after structural relaxation.

The structure in POSCAR format:
```
K2Na2ZnP2
1.0
2.699 1.558 8.081
-2.699 1.558 8.081
0.000 -3.117 8.081
K Na Zn P
2 2 1 2
direct
0.108 0.108 0.108
0.892 0.892 0.892
0.292 0.292 0.292
0.708 0.708 0.708
0.500 0.500 0.500
0.409 0.409 0.409
0.591 0.591 0.591
```

---

Run ii
DFT (PBE-GGA) results for K2Na2ZnP2 after structural relaxation.

The structure in POSCAR format:
```
K2Na2ZnP2
1.0
2.593 1.497 8.860
-2.593 1.497 8.860
0.000 -2.994 8.860
K Na Zn P
2 2 1 2
direct
0.207 0.207 0.207
0.793 0.793 0.793
0.389 0.389 0.389
0.611 0.611 0.611
0.000 0.000 0.000
0.083 0.083 0.083
0.917 0.917 0.917
```

---

So which one wins? Going from most stable to least: run ii, run i.